This record from Alexandria via LeMat-Bulk describes a relaxed TbSn2Rh4 crystal. The functional is GGA-PBE.

Calculated values
D(E_F): 0.495 states/eV/atom
total energy: -91.55 eV for the cell shown
symmetry: Cmcm, No. 63
energy of formation: -12.29 kcal/mol of atoms

a = 4.875 Å, b = 4.875 Å, c = 13.614 Å
α = 90.00°, β = 90.00°, γ = 128.28°
Sites, in units of the cell vectors:
Tb1 0.059 0.941 0.750
Tb2 0.941 0.059 0.250
Sn1 0.335 0.665 0.071
Sn2 0.335 0.665 0.429
Sn3 0.665 0.335 0.571
Sn4 0.665 0.335 0.929
Rh1 0.000 0.000 0.000
Rh2 0.000 0.000 0.500
Rh3 0.233 0.767 0.250
Rh4 0.354 0.646 0.625
Rh5 0.354 0.646 0.875
Rh6 0.646 0.354 0.125
Rh7 0.646 0.354 0.375
Rh8 0.767 0.233 0.750